Compound: InFeSb2
Source: Alexandria
Functional: PBE
Structure: optimized geometry Values from VASP.

Structure (Quantum ESPRESSO input):
```
&SYSTEM
  ibrav = 0, nat = 4, ntyp = 3
/
ATOMIC_SPECIES
Fe 55.84 Fe.upf
In 114.82 In.upf
Sb 121.76 Sb.upf
ATOMIC_POSITIONS crystal
Fe 0.500 0.500 0.000
In 0.500 0.000 0.500
Sb 0.000 0.000 0.000
Sb 0.000 0.500 0.500
CELL_PARAMETERS angstrom
3.777 0.000 0.000
0.000 4.935 0.000
0.000 0.000 4.935
```

Calculated values
Crystal system ... tetragonal
ΔE_f (raw) ... 0.50 eV/atom
N(E_F) ... 4.043 states/eV per cell